Record 1
VASP calculation (PBE) on a relaxed AlZn2Ru crystal.

Lattice parameters (Å, degrees): 2.736 2.736 9.053 90.00 90.00 116.30
Positions (direct):
Ru: 0.500 0.500 0.750
Zn: 0.000 0.000 0.987
Zn: 0.000 0.000 0.513
Al: 0.500 0.500 0.250

Summary:
ρ: 7.07 g cm⁻³
E: -14.99 eV for the cell shown
E_form: 0.58 eV/f.u.

---

Record 2
VASP calculation (PBE) on a relaxed AlZn2Ru crystal.

Lattice parameters (Å, degrees): 3.729 3.730 4.019 90.00 90.00 90.00
Positions (direct):
Al: 0.500 0.000 0.500
Ru: 0.000 0.500 0.500
Zn: 0.500 0.500 0.000
Zn: 0.000 0.000 0.000

Summary:
ρ: 7.69 g cm⁻³
E: -16.50 eV for the cell shown
E_form: -0.94 eV/f.u.